# PBE TiSi2GeOs, optimized geometry
# VASP energy = -5.481 eV per atom
# Crystal system = tetragonal
# Uncorrected formation energy = 693.2 kJ/mol of formula units
data_TiSi2GeOs
_cell_length_a 4.624
_cell_length_b 4.703
_cell_length_c 4.624
_cell_angle_alpha 90.00
_cell_angle_beta 90.00
_cell_angle_gamma 90.00
_symmetry_space_group_name_H-M 'P 1'
_symmetry_Int_Tables_number 1
loop_
_symmetry_equiv_pos_as_xyz
'x,y,z'
loop_
_atom_site_label
_atom_site_fract_x
_atom_site_fract_y
_atom_site_fract_z
Ge1 0.000 0.500 0.000
Os1 0.500 0.500 0.500
Si1 0.000 0.000 0.500
Si2 0.500 0.000 0.000
Ti1 0.000 0.000 0.000